# 1
Te2Ru: optimized geometry, PBE.

Summary:
E_form (uncorrected), eV per atom: 0.503

Cell: 4.4636 4.4636 8.2647 Å, 90.00 90.00 120.00°
Space group P6_3/mmc (No. 194)
Inequivalent atoms, fractional coordinates:
Te 0.0000 0.0000 0.0000 (multiplicity 2)
Te 0.3333 0.6667 0.2500 (multiplicity 2)
Ru 0.3333 0.6667 0.7500 (multiplicity 2)


# 2
Tm2Pa3Se8: optimized geometry, PBE.

Summary:
E_form (uncorrected), eV per atom: -1.420

Cell: 14.6424 8.0425 6.7266 Å, 90.00 106.91 90.00°
Space group C2/m (No. 12)
Inequivalent atoms, fractional coordinates:
Tm 0.2458 0.0000 0.1693 (multiplicity 4)
Pa 0.0000 0.2593 0.5000 (multiplicity 4)
Pa 0.0000 0.5000 0.0000 (multiplicity 2)
Se 0.1072 0.0000 0.3889 (multiplicity 4)
Se 0.1283 0.2551 0.9166 (multiplicity 8)
Se 0.1325 0.5000 0.4189 (multiplicity 4)


# 3
LiScSiRu: optimized geometry, PBE.

Summary:
E_form (uncorrected), eV per atom: -0.506

Cell: 6.1403 6.1403 6.1403 Å, 90.00 90.00 90.00°
Space group F-43m (No. 216)
Inequivalent atoms, fractional coordinates:
Li 0.0000 0.0000 0.0000 (multiplicity 4)
Sc 0.2500 0.2500 0.7500 (multiplicity 4)
Si 0.2500 0.2500 0.2500 (multiplicity 4)
Ru 0.0000 0.0000 0.5000 (multiplicity 4)


# 4
CdInIr: optimized geometry, PBE.

Summary:
DFT formation energy, eV per atom: -0.116

Cell: 3.0024 4.5817 4.7738 Å, 90.00 90.00 90.00°
Space group Pmmm (No. 47)
Inequivalent atoms, fractional coordinates:
Cd 0.0000 0.0000 0.0000 (multiplicity 1)
In 0.0000 0.5000 0.5000 (multiplicity 1)
Ir 0.5000 0.0000 0.5000 (multiplicity 1)


# 5
RbNb5Se8: optimized geometry, PBE.

Summary:
E_form (uncorrected), eV per atom: -0.905

Cell: 18.9908 3.5110 9.4721 Å, 90.00 104.30 90.00°
Space group C2/m (No. 12)
Inequivalent atoms, fractional coordinates:
Rb 0.0000 0.0000 0.0000 (multiplicity 2)
Nb 0.0000 0.5000 0.5000 (multiplicity 2)
Nb 0.1398 0.0000 0.5050 (multiplicity 4)
Nb 0.2120 0.0000 0.8677 (multiplicity 4)
Se 0.0696 0.0000 0.6975 (multiplicity 4)
Se 0.0858 0.5000 0.3126 (multiplicity 4)
Se 0.1533 0.5000 0.0064 (multiplicity 4)
Se 0.2407 0.5000 0.6600 (multiplicity 4)


# 6
CeAgAu4: optimized geometry, PBE.

Summary:
Energy above the lowest structure with this stoichiometry, eV per formula unit: 0.000
DFT formation energy, eV per atom: -0.370

Cell: 7.9086 7.9086 7.9086 Å, 90.00 90.00 90.00°
Space group F-43m (No. 216)
Inequivalent atoms, fractional coordinates:
Ce 0.0000 0.0000 0.0000 (multiplicity 4)
Ag 0.2500 0.2500 0.2500 (multiplicity 4)
Au 0.1244 0.1244 0.6244 (multiplicity 16)


no.,size of the total moment (μB/atom)
1,0.00
2,0.37
3,0.00
4,0.00
5,0.00
6,0.16